(1)
DyThCo | PBE | relaxed

Computed properties:
Total magnetic moment = 0.000 μB per atom
Space group = P2_1/c
D(E_F) = 12.046 states/eV/cell
Formation enthalpy at 0 K = -212.5 meV/atom

Cell: 7.0570 6.0547 6.9834 Å, 90.04 90.00 90.00°
Fractional positions:
Co (0.5396, 0.6716, 0.2504)
Co (0.9604, 0.6716, 0.7504)
Co (0.0396, 0.3284, 0.2496)
Co (0.4604, 0.3284, 0.7496)
Dy (0.8949, 0.8996, 0.2497)
Dy (0.6051, 0.8996, 0.7497)
Dy (0.3949, 0.1004, 0.2503)
Dy (0.1051, 0.1004, 0.7503)
Th (0.2501, 0.5734, 0.0001)
Th (0.2499, 0.5734, 0.5001)
Th (0.7501, 0.4266, 0.4999)
Th (0.7499, 0.4266, 0.9999)

=====

(2)
DyTh3Co8 | PBE | relaxed

Computed properties:
Total magnetic moment = 0.000 μB per atom
Space group = R3m
D(E_F) = 15.514 states/eV/cell
Formation enthalpy at 0 K = -196.3 meV/atom

Cell: 5.0898 5.0898 8.8255 Å, 73.24 73.24 60.00°
Fractional positions:
Dy (0.8736, 0.8736, 0.3790)
Th (0.3765, 0.3765, 0.8706)
Th (0.9973, 0.9973, 0.0080)
Th (0.5028, 0.5028, 0.4916)
Co (0.9392, 0.4358, 0.1892)
Co (0.4369, 0.9384, 0.6863)
Co (0.4358, 0.4358, 0.1892)
Co (0.9384, 0.9384, 0.6863)
Co (0.1879, 0.1879, 0.4364)
Co (0.6873, 0.6873, 0.9380)
Co (0.4358, 0.9392, 0.1892)
Co (0.9384, 0.4369, 0.6863)

=====

(3)
DyTh4Co2 | PBE | relaxed

Computed properties:
Total magnetic moment = 0.000 μB per atom
Space group = P2_1/m
D(E_F) = 15.847 states/eV/cell
Formation enthalpy at 0 K = -125.1 meV/atom

Cell: 6.7948 8.3898 7.0536 Å, 112.69 90.00 90.00°
Fractional positions:
Co (0.2500, 0.3566, 0.9860)
Co (0.7500, 0.6434, 0.0140)
Co (0.7500, 0.3637, 0.3949)
Co (0.2500, 0.6363, 0.6051)
Th (0.4989, 0.4060, 0.7046)
Th (0.2500, 0.2059, 0.2357)
Th (0.7500, 0.7941, 0.7643)
Th (0.0011, 0.4060, 0.7046)
Th (0.7500, 0.0001, 0.3394)
Th (0.9989, 0.5940, 0.2954)
Th (0.5011, 0.5940, 0.2954)
Th (0.2500, 0.9999, 0.6606)
Dy (0.2500, 0.7802, 0.0074)
Dy (0.7500, 0.2198, 0.9926)